16
Lattice="7.0245 0.0000 0.0000 0.0000 7.0245 0.0000 0.0000 0.0000 7.0245" Properties=species:S:1:pos:R:3 comment="ErThCuIr | Alexandria via LeMat-Bulk | PBE | relaxed" total_magnetization_mub_per_fu=0.0 dft_energy_ev_per_atom=-6.782 volume_a3_per_atom=21.7 space_group="No. 216" e_form_mev_per_atom=-547 pbc="T T T"
Er 0.0000 0.0000 0.0000
Er 0.0000 3.5123 3.5123
Er 3.5123 0.0000 3.5123
Er 3.5123 3.5123 0.0000
Th 0.0000 0.0000 3.5123
Th 0.0000 3.5123 0.0000
Th 3.5123 0.0000 0.0000
Th 3.5123 3.5123 3.5123
Cu 1.7561 1.7561 1.7561
Cu 1.7561 5.2684 5.2684
Cu 5.2684 1.7561 5.2684
Cu 5.2684 5.2684 1.7561
Ir 1.7561 1.7561 5.2684
Ir 1.7561 5.2684 1.7561
Ir 5.2684 1.7561 1.7561
Ir 5.2684 5.2684 5.2684

***

20
Lattice="9.6779 0.0000 0.0000 0.0000 4.2736 0.0000 0.0000 0.0000 14.7803" Properties=species:S:1:pos:R:3 comment="SmScTe3 | Alexandria via LeMat-Bulk | PBE | relaxed" total_magnetization_mub_per_fu=0.0 dft_energy_ev_per_atom=-5.358 volume_a3_per_atom=30.6 space_group="No. 62" formation_energy_uncorrected_mev_per_atom=-1263 de_polymorph_mev_per_atom=0 pbc="T T T"
Sm 0.3515 1.0684 2.5437
Sm 4.4875 3.2052 9.9338
Sm 5.1904 1.0684 4.8465
Sm 9.3264 3.2052 12.2366
Sc 1.6388 3.2052 6.7556
Sc 3.2001 1.0684 14.1457
Sc 6.4777 3.2052 0.6346
Sc 8.0391 1.0684 8.0247
Te 0.0105 1.0684 5.6892
Te 1.4350 3.2052 0.3932
Te 1.9246 1.0684 11.5588
Te 2.9143 3.2052 4.1686
Te 3.4039 1.0684 7.7834
Te 4.8285 3.2052 13.0794
Te 4.8494 1.0684 1.7009
Te 6.2740 3.2052 6.9969
Te 6.7636 1.0684 10.6117
Te 7.7532 3.2052 3.2215
Te 8.2428 1.0684 14.3871
Te 9.6674 3.2052 9.0911

***

10
Lattice="2.4882 -5.3773 0.0000 2.4882 5.3773 0.0000 0.0000 0.0000 8.8389" Properties=species:S:1:pos:R:3 comment="NaLi2TlCd | Alexandria via LeMat-Bulk | PBE | relaxed" total_magnetization_mub_per_fu=0.0 dft_energy_ev_per_atom=-1.801 volume_a3_per_atom=23.7 space_group="No. 63" e_form_mev_per_atom=-115 pbc="T T T"
Na 0.0000 0.0000 0.0000
Na 0.0000 0.0000 4.4195
Li 2.4882 2.1821 5.0328
Li 2.4882 2.1821 8.2256
Li 2.4882 -2.1821 0.6133
Li 2.4882 -2.1821 3.8061
Tl 2.4882 3.1412 2.2097
Tl 2.4882 -3.1412 6.6292
Cd 2.4882 0.1912 2.2097
Cd 2.4882 -0.1912 6.6292

***

6
Lattice="3.9180 0.0000 0.0000 0.0000 3.9180 0.0000 0.0000 0.0000 15.7716" Properties=species:S:1:pos:R:3 comment="SrCaCe | Alexandria via LeMat-Bulk | PBE | relaxed" total_magnetization_mub_per_fu=0.7 dft_energy_ev_per_atom=-3.083 volume_a3_per_atom=40.4 space_group="No. 129" e_form_mev_per_atom=123 pbc="T T T"
Sr 0.9795 0.9795 1.6334
Sr 2.9385 2.9385 14.1382
Ca 0.9795 0.9795 11.0445
Ca 2.9385 2.9385 4.7271
Ce 0.9795 0.9795 7.3361
Ce 2.9385 2.9385 8.4355

***

8
Lattice="7.7065 0.0000 0.0000 0.0000 7.7065 0.0000 0.0000 0.0000 3.0456" Properties=species:S:1:pos:R:3 comment="PuCd6Ag | Alexandria via LeMat-Bulk | PBE | relaxed" total_magnetization_mub_per_fu=6.2 dft_energy_ev_per_atom=-2.863 volume_a3_per_atom=22.6 space_group="No. 123" e_form_mev_per_atom=-29 pbc="T T T"
Pu 0.0000 0.0000 0.0000
Cd 0.0000 3.8533 0.0000
Cd 2.0897 2.0897 1.5228
Cd 2.0897 5.6168 1.5228
Cd 3.8533 0.0000 0.0000
Cd 5.6168 2.0897 1.5228
Cd 5.6168 5.6168 1.5228
Ag 3.8533 3.8533 0.0000

***

6
Lattice="7.2848 0.0000 0.0000 0.0000 4.6282 0.0000 -3.1052 0.0000 6.9152" Properties=species:S:1:pos:R:3 comment="RbGaSn | Alexandria via LeMat-Bulk | PBE | relaxed" total_magnetization_mub_per_fu=0.0 dft_energy_ev_per_atom=-2.785 volume_a3_per_atom=38.9 space_group="No. 10" e_form_mev_per_atom=-120 pbc="T T T"
Rb 0.7832 0.0000 1.9229
Rb 3.3963 0.0000 4.9923
Ga -0.1648 0.0000 5.8705
Ga 4.3443 0.0000 1.0446
Sn -0.7114 2.3141 4.6634
Sn 4.8909 2.3141 2.2517

***

12
Lattice="-2.2569 4.4092 6.8707 2.2569 -4.4092 6.8707 2.2569 4.4092 -6.8707" Properties=species:S:1:pos:R:3 comment="Pu6AlAu5 | Alexandria via LeMat-Bulk | PBE | relaxed" total_magnetization_mub_per_fu=34.9 dft_energy_ev_per_atom=-9.180 volume_a3_per_atom=22.8 space_group="No. 71" e_form_mev_per_atom=-337 pbc="T T T"
Pu 2.2569 2.1793 -2.2960
Pu 0.0000 2.1451 0.0000
Pu 2.2569 2.1793 2.2960
Pu 0.0000 2.2299 4.5747
Pu 0.0000 6.6732 0.0000
Pu 0.0000 2.2299 9.1666
Al 0.0000 0.0000 6.8707
Au 2.2569 0.0000 0.0000
Au 0.0000 0.0000 2.3523
Au 2.2569 0.0000 4.7670
Au 0.0000 4.4092 2.1036
Au 0.0000 0.0000 11.3890

***

12
Lattice="5.6620 0.0000 0.0000 0.0000 4.6564 0.0000 -2.1075 0.0000 5.0819" Properties=species:S:1:pos:R:3 comment="MgIrO4 | Alexandria via LeMat-Bulk | PBE | relaxed" total_magnetization_mub_per_fu=0.9 dft_energy_ev_per_atom=-6.340 volume_a3_per_atom=11.2 space_group="No. 14" formation_energy_uncorrected_mev_per_atom=-1292 de_polymorph_mev_per_atom=0 pbc="T T T"
Mg 0.0000 0.0000 0.0000
Mg -1.0538 2.3282 2.5410
Ir 1.7772 0.0000 2.5410
Ir 2.8310 2.3282 0.0000
O 0.2362 0.8866 1.8741
O -0.8175 1.4416 4.4151
O 0.6096 3.3234 3.3697
O 1.6634 3.6611 0.8287
O 1.8911 0.9952 4.2532
O 2.9449 1.3329 1.7123
O 4.3720 3.2147 0.6669
O 3.3183 3.7698 3.2078

***

15
Lattice="4.5735 2.6405 7.6287 -4.5735 2.6405 7.6287 0.0000 -5.2810 7.6287" Properties=species:S:1:pos:R:3 comment="Ac3Pr3DyTe8 | Alexandria via LeMat-Bulk | PBE | relaxed" total_magnetization_mub_per_fu=0.0 dft_energy_ev_per_atom=-5.238 volume_a3_per_atom=36.9 space_group="No. 166" formation_energy_uncorrected_mev_per_atom=-1478 pbc="T T T"
Ac -2.2867 -1.3203 7.6287
Ac -2.2867 1.3203 15.2573
Ac 0.0000 2.6405 7.6287
Pr -4.5735 0.0000 11.4430
Pr -2.2867 1.3203 3.8143
Pr 2.2867 1.3203 3.8143
Dy 0.0000 0.0000 11.4430
Te 0.0000 0.0000 5.6321
Te -2.2586 -1.3040 13.2409
Te 0.0000 -2.6080 9.6452
Te -2.2586 1.3040 9.6452
Te 2.2586 -1.3040 13.2409
Te 0.0000 2.6080 13.2409
Te 2.2586 1.3040 9.6452
Te 0.0000 0.0000 17.2539

***

12
Lattice="3.0683 0.0000 0.0000 -1.5341 2.6572 0.0000 0.0000 0.0000 20.7825" Properties=species:S:1:pos:R:3 comment="Si2PRu | Alexandria via LeMat-Bulk | PBE | relaxed" total_magnetization_mub_per_fu=0.0 dft_energy_ev_per_atom=-6.374 volume_a3_per_atom=14.1 space_group="No. 160" formation_energy_uncorrected_mev_per_atom=9 pbc="T T T"
Si 0.0000 0.0000 0.0000
Si 0.0000 0.0000 5.1327
Si 0.0000 1.7715 13.8550
Si 0.0000 1.7715 18.9876
Si 1.5341 0.8857 6.9275
Si 1.5341 0.8857 12.0601
P 0.0000 0.0000 10.3975
P 0.0000 1.7715 3.4700
P 1.5341 0.8857 17.3250
Ru 0.0000 0.0000 15.6308
Ru 0.0000 1.7715 8.7033
Ru 1.5341 0.8857 1.7758

***

12
Lattice="3.3887 0.0000 0.0000 -1.6944 2.9347 0.0000 0.0000 0.0000 25.8083" Properties=species:S:1:pos:R:3 comment="Cd2RuBr | Alexandria via LeMat-Bulk | PBE | relaxed" total_magnetization_mub_per_fu=0.8 dft_energy_ev_per_atom=-2.928 volume_a3_per_atom=21.4 space_group="No. 166" formation_energy_uncorrected_mev_per_atom=267 de_polymorph_mev_per_atom=100 pbc="T T T"
Cd 0.0000 0.0000 6.2857
Cd 0.0000 0.0000 19.5226
Cd 0.0000 1.9565 10.9198
Cd 0.0000 1.9565 23.4912
Cd 1.6944 0.9782 2.3171
Cd 1.6944 0.9782 14.8885
Ru 0.0000 0.0000 12.9042
Ru 0.0000 1.9565 4.3014
Ru 1.6944 0.9782 21.5069
Br 0.0000 0.0000 0.0000
Br 0.0000 1.9565 17.2055
Br 1.6944 0.9782 8.6028

***

11
Lattice="6.8581 -3.0492 0.0000 6.8581 3.0492 0.0000 -2.7534 0.0000 8.1291" Properties=species:S:1:pos:R:3 comment="Ho5GaTe5 | Alexandria via LeMat-Bulk | PBE | relaxed" total_magnetization_mub_per_fu=0.0 dft_energy_ev_per_atom=-5.014 volume_a3_per_atom=30.9 space_group="No. 12" formation_energy_uncorrected_mev_per_atom=-1230 pbc="T T T"
Ho 0.0000 0.0000 0.0000
Ho 4.2678 0.0000 1.3048
Ho 2.8276 0.0000 5.5263
Ho 8.1352 0.0000 2.6028
Ho 6.6950 0.0000 6.8243
Ga 6.8581 0.0000 0.0000
Te -0.0151 0.0000 6.7234
Te 1.4693 0.0000 2.7242
Te 5.4814 0.0000 4.0645
Te 9.4935 0.0000 5.4049
Te 10.9779 0.0000 1.4057

***

4
Lattice="3.8397 0.0000 0.0000 0.0000 3.8397 0.0000 0.0000 0.0000 8.1581" Properties=species:S:1:pos:R:3 comment="AcNdTlAu | Alexandria via LeMat-Bulk | PBE | relaxed" total_magnetization_mub_per_fu=0.0 dft_energy_ev_per_atom=-4.190 volume_a3_per_atom=30.1 space_group="No. 99" e_form_mev_per_atom=-560 de_polymorph_mev_per_atom=0 pbc="T T T"
Ac 0.0000 0.0000 0.0000
Nd 0.0000 0.0000 4.4342
Tl 1.9199 1.9199 2.3493
Au 1.9199 1.9199 6.0980

***

12
Lattice="8.2269 0.0000 0.0000 -4.1134 7.1247 0.0000 0.0000 0.0000 9.5835" Properties=species:S:1:pos:R:3 comment="CsNaPm2I8 | Alexandria via LeMat-Bulk | PBE | relaxed" total_magnetization_mub_per_fu=0.0 dft_energy_ev_per_atom=-3.375 volume_a3_per_atom=46.8 space_group="No. 147" formation_energy_uncorrected_mev_per_atom=-1369 pbc="T T T"
Cs 0.0000 0.0000 0.0000
Na 0.0000 0.0000 4.7917
Pm 0.0000 4.7498 3.9107
Pm 4.1134 2.3749 5.6728
I -1.0074 2.6533 6.2702
I -1.3119 6.6705 6.2702
I 0.0000 4.7498 0.8848
I 1.7941 2.1991 3.3133
I 2.3193 4.9256 6.2702
I 4.1134 2.3749 8.6987
I 5.4253 0.4542 3.3133
I 5.1209 4.4714 3.3133

***

6
Lattice="5.4161 0.0000 0.0000 -2.7080 4.6905 0.0000 0.0000 0.0000 6.4319" Properties=species:S:1:pos:R:3 comment="BaPAu | Alexandria via LeMat-Bulk | PBE | relaxed" total_magnetization_mub_per_fu=0.0 dft_energy_ev_per_atom=-3.782 volume_a3_per_atom=27.2 space_group="No. 194" e_form_mev_per_atom=-246 pbc="T T T"
Ba 0.0000 3.1270 1.6080
Ba 2.7080 1.5635 4.8239
P 0.0000 3.1270 4.8239
P 2.7080 1.5635 1.6080
Au 0.0000 0.0000 0.0000
Au 0.0000 0.0000 3.2160

***

12
Lattice="9.0348 0.0000 0.0000 -4.5174 7.8244 0.0000 0.0000 0.0000 2.6782" Properties=species:S:1:pos:R:3 comment="VPt | Alexandria via LeMat-Bulk | PBE | relaxed" total_magnetization_mub_per_fu=0.0 dft_energy_ev_per_atom=-7.707 volume_a3_per_atom=15.8 space_group="No. 176" e_form_mev_per_atom=-127 pbc="T T T"
V -1.0637 4.1418 0.6696
V -0.3986 6.6747 0.6696
V 1.4624 4.8322 0.6696
V 3.0550 2.9921 2.0087
V 4.9160 1.1497 2.0087
V 5.5811 3.6826 2.0087
Pt -2.9082 5.9287 0.6696
Pt 0.8371 2.3415 0.6696
Pt 2.4463 0.4458 2.0087
Pt 2.0711 7.3786 0.6696
Pt 3.6803 5.4829 2.0087
Pt 7.4256 1.8957 2.0087

***

5
Lattice="5.1630 0.0000 0.0000 0.0000 5.1630 0.0000 0.0000 0.0000 5.7289" Properties=species:S:1:pos:R:3 comment="CrTe2OsI | Alexandria via LeMat-Bulk | PBE | relaxed" total_magnetization_mub_per_fu=4.1 dft_energy_ev_per_atom=-4.773 volume_a3_per_atom=30.5 space_group="No. 123" formation_energy_uncorrected_mev_per_atom=964 de_polymorph_mev_per_atom=0 pbc="T T T"
Cr 0.0000 0.0000 0.0000
Te 0.0000 2.5815 2.8644
Te 2.5815 0.0000 2.8644
Os 2.5815 2.5815 2.8644
I 2.5815 2.5815 0.0000

***

4
Lattice="3.3432 0.0000 0.0000 0.0000 6.1942 0.0000 -1.2772 0.0000 5.4843" Properties=species:S:1:pos:R:3 comment="CdSb2Cl | Alexandria via LeMat-Bulk | PBE | relaxed" total_magnetization_mub_per_fu=0.0 dft_energy_ev_per_atom=-2.897 volume_a3_per_atom=28.4 space_group="No. 6" formation_energy_uncorrected_mev_per_atom=-146 de_polymorph_mev_per_atom=138 pbc="T T T"
Cd 0.0000 0.0000 0.0000
Sb 1.5874 3.0971 2.5848
Sb 1.7374 0.0000 2.5854
Cl 1.4705 3.0971 0.0390

***

5
Lattice="4.2013 0.0000 0.0000 0.0000 4.2013 0.0000 0.0000 0.0000 4.6069" Properties=species:S:1:pos:R:3 comment="NbCr2TcP | Alexandria via LeMat-Bulk | PBE | relaxed" total_magnetization_mub_per_fu=2.5 dft_energy_ev_per_atom=-8.478 volume_a3_per_atom=16.3 space_group="No. 123" e_form_mev_per_atom=540 pbc="T T T"
Nb 0.0000 0.0000 0.0000
Cr 0.0000 2.1007 2.3034
Cr 2.1007 0.0000 2.3034
Tc 2.1007 2.1007 0.0000
P 0.0000 0.0000 2.3034